BeSbAu2, optimized geometry, DFT PBE; total moment = 0.0 μB per formula unit; formation energy from raw total energies = 254.4 meV per atom
1.0
4.4412 0.0114 0.0000
-1.1014 4.3025 0.0000
0.0000 0.0000 3.9023
Sb Be Au
1 1 2
direct
0.0000 0.5000 0.5000 Sb
0.5000 0.0000 0.5000 Be
0.0000 0.0000 0.0000 Au
0.5000 0.5000 0.0000 Au

=====

Be3SbAu, optimized geometry, DFT PBE; total moment = 0.0 μB per formula unit; formation energy from raw total energies = 1217.0 meV per atom
1.0
4.6357 0.0000 0.0000
0.0000 4.6357 0.0000
0.0000 0.0000 4.6357
Au Be Sb
1 3 1
direct
0.5000 0.5000 0.5000 Au
0.0000 0.5000 0.0000 Be
0.0000 0.0000 0.5000 Be
0.5000 0.0000 0.0000 Be
0.0000 0.0000 0.0000 Sb

=====

Be2SbAu, optimized geometry, DFT PBE; total moment = 0.0 μB per formula unit; formation energy from raw total energies = 426.5 meV per atom
1.0
3.6888 0.0000 0.0000
0.0000 5.0434 0.0000
0.0000 0.0000 3.5039
Au Be Sb
1 2 1
direct
0.0000 0.5000 0.5000 Au
0.0000 0.0000 0.0000 Be
0.5000 0.5000 0.0000 Be
0.5000 0.0000 0.5000 Sb

=====

BeSbAu2, optimized geometry, DFT PBE; total moment = 0.0 μB per formula unit; formation energy from raw total energies = 282.9 meV per atom
1.0
-0.9968 -2.9022 -2.6356
3.8509 -0.2130 -1.2219
0.8135 -3.0979 3.1036
Sb Au Be
1 2 1
direct
0.0000 0.5000 0.5000 Sb
0.0000 0.0000 0.0000 Au
0.5000 0.5000 0.0000 Au
0.5000 0.0000 0.5000 Be

=====

BeSb2Au2, optimized geometry, DFT PBE; total moment = 0.0 μB per formula unit; formation energy from raw total energies = 323.4 meV per atom
1.0
-0.9720 -7.0747 -0.6961
3.3986 0.1546 -6.3171
3.7361 -0.7093 1.9926
Sb Au Be
4 4 2
direct
0.6805 0.1805 0.0000 Sb
0.1805 0.3195 0.0000 Sb
0.3195 0.8195 0.0000 Sb
0.8195 0.6805 0.0000 Sb
0.1379 0.6379 0.5000 Au
0.8621 0.3621 0.5000 Au
0.3621 0.1379 0.5000 Au
0.6379 0.8621 0.5000 Au
0.5000 0.5000 0.0000 Be
0.0000 0.0000 0.0000 Be

=====

BeSbAu2, optimized geometry, DFT PBE; total moment = 0.0 μB per formula unit; formation energy from raw total energies = 29.2 meV per atom
1.0
-0.7452 -5.1798 -2.8544
-0.3340 -5.8594 1.0439
-3.8109 -4.5667 -0.3941
Au Sb Be
2 1 1
direct
0.5274 0.5274 0.5274 Au
0.9726 0.9726 0.9726 Au
0.7500 0.7500 0.7500 Sb
0.2500 0.2500 0.2500 Be

=====

Be2SbAu, optimized geometry, DFT PBE; total moment = 0.0 μB per formula unit; formation energy from raw total energies = 192.2 meV per atom
1.0
3.0249 0.0000 0.0000
0.0000 3.0686 -0.0016
0.0000 0.0087 7.1058
Be Au Sb
2 1 1
direct
0.0000 0.2505 0.5764 Be
0.0000 0.2495 0.9236 Be
0.5000 0.7500 0.7500 Au
0.5000 0.2500 0.2500 Sb

=====

Be2SbAu, optimized geometry, DFT PBE; total moment = 0.0 μB per formula unit; formation energy from raw total energies = 277.1 meV per atom
1.0
3.0615 0.0000 0.0000
0.0000 3.7352 0.0000
0.0000 0.0000 5.7686
Be Au Sb
2 1 1
direct
0.0000 0.0000 0.9577 Be
0.5000 0.5000 0.2448 Be
0.5000 0.5000 0.8571 Au
0.0000 0.0000 0.4405 Sb

=====

BeSbAu2, optimized geometry, DFT PBE; total moment = 0.0 μB per formula unit; formation energy from raw total energies = 392.0 meV per atom
1.0
4.7247 0.0000 0.0000
2.3623 4.0917 0.0000
2.3623 1.3639 3.8577
Sb Be Au
1 1 2
direct
0.7500 0.7500 0.7500 Sb
0.5000 0.5000 0.5000 Be
0.0000 0.0000 0.0000 Au
0.2500 0.2500 0.2500 Au

=====

BeSbAu2, optimized geometry, DFT PBE; total moment = 0.0 μB per formula unit; formation energy from raw total energies = 115.7 meV per atom
1.0
5.6429 0.0468 -0.0831
2.6093 5.0036 0.0831
-3.4206 -3.6779 2.5736
Au Sb Be
2 1 1
direct
0.9381 0.9381 0.0000 Au
0.5619 0.5619 0.0000 Au
0.2500 0.7500 0.5000 Sb
0.7500 0.2500 0.5000 Be

=====

Be3SbAu, optimized geometry, DFT PBE; total moment = 0.0 μB per formula unit; formation energy from raw total energies = 543.2 meV per atom
1.0
4.4242 0.0000 0.0000
0.0000 4.4242 0.0000
0.0000 0.0000 4.4242
Au Be Sb
1 3 1
direct
0.0000 0.0000 0.0000 Au
0.0000 0.5000 0.0000 Be
0.5000 0.0000 0.0000 Be
0.0000 0.0000 0.5000 Be
0.5000 0.5000 0.5000 Sb

=====

BeSbAu2, optimized geometry, DFT PBE; total moment = 0.0 μB per formula unit; formation energy from raw total energies = 127.3 meV per atom
1.0
-2.7102 -1.8274 -0.4615
1.8459 -2.7361 -0.0054
-0.7931 -0.5485 6.8294
Au Be Sb
2 1 1
direct
0.5000 0.5000 0.3168 Au
0.0000 0.0000 0.0429 Au
0.0000 0.0000 0.3964 Be
0.5000 0.5000 0.7439 Sb